Compound: BaCrTc3
Source: Alexandria via LeMat-Bulk
Functional: PBE-GGA
Structure: relaxed

Structure (POSCAR):
```
BaCrTc3
1.0
-1.755 2.464 3.806
1.226 -3.671 2.943
4.365 2.022 0.704
Cr Tc Ba
1 3 1
Direct
0.500 0.500 0.500
0.000 0.500 0.000
0.500 0.000 0.000
0.000 0.000 0.500
0.000 0.000 0.000
```

Values from the calculation:
M_tot: 0.50 μB per cell
energy relative to the elements: 17.4 eV/f.u.
Fermi-level density of states: 11.66 states/eV/cell
polymorph energy (0 for the lowest one): 11.91 eV per formula unit
calculated volume: 22.98 Å³/atom

Compound: BaCr2Tc
Source: Alexandria via LeMat-Bulk
Functional: PBE-GGA
Structure: relaxed

Structure (POSCAR):
```
BaCr2Tc
1.0
3.850 0.000 0.000
0.000 3.053 0.028
0.000 1.735 7.165
Tc Cr Ba
1 2 1
Direct
0.500 0.250 0.250
0.000 0.936 0.118
0.000 0.564 0.382
0.500 0.750 0.750
```

Values from the calculation:
M_tot: 0.00 μB per cell
energy relative to the elements: 3.0 eV/f.u.
Fermi-level density of states: 4.63 states/eV/cell
polymorph energy (0 for the lowest one): 0.47 eV per formula unit
calculated volume: 21.00 Å³/atom

Compound: BaCr4Tc
Source: Alexandria via LeMat-Bulk
Functional: PBE-GGA
Structure: relaxed

Structure (POSCAR):
```
BaCr4Tc
1.0
-2.584 -4.272 0.929
-5.077 0.067 0.061
-2.614 -2.248 -3.729
Cr Tc Ba
4 1 1
Direct
0.377 0.870 0.377
0.377 0.377 0.870
0.870 0.377 0.377
0.377 0.377 0.377
0.750 0.750 0.750
0.000 0.000 0.000
```

Values from the calculation:
M_tot: 0.00 μB per cell
energy relative to the elements: 6.2 eV/f.u.
Fermi-level density of states: 8.20 states/eV/cell
calculated volume: 15.43 Å³/atom

Compound: BaCr2Tc
Source: Alexandria via LeMat-Bulk
Functional: PBE-GGA
Structure: relaxed

Structure (POSCAR):
```
BaCr2Tc
1.0
5.096 -0.002 0.000
-0.010 5.096 0.000
0.000 0.000 3.165
Ba Cr Tc
1 2 1
Direct
0.000 0.500 0.500
0.500 0.500 0.000
0.000 0.000 0.000
0.500 0.000 0.500
```

Values from the calculation:
M_tot: 5.69 μB per cell
energy relative to the elements: 5.4 eV/f.u.
Fermi-level density of states: 5.39 states/eV/cell
polymorph energy (0 for the lowest one): 2.83 eV per formula unit
calculated volume: 20.55 Å³/atom

Compound: BaCr2Tc
Source: Alexandria via LeMat-Bulk
Functional: PBE-GGA
Structure: relaxed

Structure (POSCAR):
```
BaCr2Tc
1.0
9.558 -0.081 -0.048
9.028 3.140 -0.048
9.028 1.486 2.767
Cr Tc Ba
2 1 1
Direct
0.524 0.524 0.524
0.976 0.976 0.976
0.250 0.250 0.250
0.750 0.750 0.750
```

Values from the calculation:
M_tot: 5.57 μB per cell
energy relative to the elements: 4.1 eV/f.u.
Fermi-level density of states: 4.01 states/eV/cell
polymorph energy (0 for the lowest one): 1.60 eV per formula unit
calculated volume: 21.63 Å³/atom

Compound: BaCrTc3
Source: Alexandria via LeMat-Bulk
Functional: PBE-GGA
Structure: relaxed

Structure (POSCAR):
```
BaCrTc3
1.0
4.672 0.000 0.000
0.000 4.672 0.000
0.000 0.000 4.672
Tc Cr Ba
3 1 1
Direct
0.500 0.000 0.000
0.000 0.500 0.000
0.000 0.000 0.500
0.000 0.000 0.000
0.500 0.500 0.500
```

Values from the calculation:
M_tot: 2.37 μB per cell
energy relative to the elements: 5.5 eV/f.u.
Fermi-level density of states: 4.55 states/eV/cell
polymorph energy (0 for the lowest one): 0.00 eV per formula unit
calculated volume: 20.40 Å³/atom

Compound: BaCr2Tc
Source: Alexandria via LeMat-Bulk
Functional: PBE-GGA
Structure: relaxed

Structure (POSCAR):
```
BaCr2Tc
1.0
6.849 0.253 0.747
-2.857 4.258 -0.293
1.135 0.950 2.807
Tc Cr Ba
1 2 1
Direct
0.000 0.500 0.500
0.000 0.000 0.000
0.500 0.000 0.500
0.500 0.500 0.000
```

Values from the calculation:
M_tot: 5.86 μB per cell
energy relative to the elements: 5.2 eV/f.u.
Fermi-level density of states: 4.36 states/eV/cell
polymorph energy (0 for the lowest one): 2.68 eV per formula unit
calculated volume: 20.02 Å³/atom

Compound: BaCr3Tc
Source: Alexandria via LeMat-Bulk
Functional: PBE-GGA
Structure: relaxed

Structure (POSCAR):
```
BaCr3Tc
1.0
4.892 0.000 0.000
0.000 4.892 0.000
0.000 0.000 4.892
Cr Tc Ba
3 1 1
Direct
0.000 0.500 0.000
0.000 0.000 0.500
0.500 0.000 0.000
0.500 0.500 0.500
0.000 0.000 0.000
```

Values from the calculation:
M_tot: 5.67 μB per cell
energy relative to the elements: 14.1 eV/f.u.
Fermi-level density of states: 4.87 states/eV/cell
polymorph energy (0 for the lowest one): 9.41 eV per formula unit
calculated volume: 23.41 Å³/atom

Compound: BaCr2Tc
Source: Alexandria via LeMat-Bulk
Functional: PBE-GGA
Structure: relaxed

Structure (POSCAR):
```
BaCr2Tc
1.0
4.826 0.000 0.000
2.413 4.180 0.000
2.413 1.393 3.941
Tc Cr Ba
1 2 1
Direct
0.750 0.750 0.750
0.250 0.250 0.250
0.000 0.000 0.000
0.500 0.500 0.500
```

Values from the calculation:
M_tot: 1.27 μB per cell
energy relative to the elements: 4.7 eV/f.u.
Fermi-level density of states: 4.56 states/eV/cell
polymorph energy (0 for the lowest one): 2.21 eV per formula unit
calculated volume: 19.87 Å³/atom

Compound: BaCr2Tc
Source: Alexandria via LeMat-Bulk
Functional: PBE-GGA
Structure: relaxed

Structure (POSCAR):
```
BaCr2Tc
1.0
0.000 3.246 3.246
3.246 0.000 3.246
3.246 3.246 0.000
Ba Cr Tc
1 2 1
Direct
0.500 0.500 0.500
0.750 0.750 0.750
0.250 0.250 0.250
0.000 0.000 0.000
```

Values from the calculation:
M_tot: 0.00 μB per cell
energy relative to the elements: 5.6 eV/f.u.
Fermi-level density of states: 6.16 states/eV/cell
polymorph energy (0 for the lowest one): 3.10 eV per formula unit
calculated volume: 17.10 Å³/atom

Compound: Ba2CrTc
Source: Alexandria via LeMat-Bulk
Functional: PBE-GGA
Structure: relaxed

Structure (POSCAR):
```
Ba2CrTc
1.0
-1.731 9.600 0.977
-4.948 8.300 1.660
0.826 -0.200 3.506
Ba Tc Cr
2 1 1
Direct
0.899 0.899 0.250
0.601 0.601 0.250
0.250 0.250 0.250
0.750 0.750 0.750
```

Values from the calculation:
M_tot: 1.53 μB per cell
energy relative to the elements: 2.7 eV/f.u.
Fermi-level density of states: 4.18 states/eV/cell
polymorph energy (0 for the lowest one): 0.88 eV per formula unit
calculated volume: 30.75 Å³/atom

Compound: Ba2CrTc
Source: Alexandria via LeMat-Bulk
Functional: PBE-GGA
Structure: relaxed

Structure (POSCAR):
```
Ba2CrTc
1.0
-4.733 0.203 2.686
-1.645 -4.533 -2.529
4.701 0.040 2.748
Cr Ba Tc
1 2 1
Direct
0.500 0.500 0.000
0.000 0.000 0.000
0.250 0.750 0.500
0.750 0.250 0.500
```

Values from the calculation:
M_tot: 2.62 μB per cell
energy relative to the elements: 4.4 eV/f.u.
Fermi-level density of states: 5.12 states/eV/cell
polymorph energy (0 for the lowest one): 2.55 eV per formula unit
calculated volume: 28.51 Å³/atom

Q: Among the records above, which one has the lowest energy relative to the elements?
A: number 11

Q: Which of these has the highest Fermi-level density of states?
A: number 1

Q: Among the records above, which one has the highest calculated volume?
A: number 11

Q: Look up the M_tot of the ninth one.
A: 1.27 μB per cell